(1)
Here is crystalline Co2Sn3Se3 at its relaxed geometry from Alexandria via LeMat-Bulk. Energies are from PBE.

Unit cell a=8.784 b=8.784 c=8.784 alpha=90.14 beta=90.14 gamma=90.14
Sites, in units of the cell vectors:
Se (0.156, 0.998, 0.661)
Se (0.844, 0.002, 0.339)
Se (0.002, 0.339, 0.844)
Co (0.755, 0.259, 0.762)
Sn (0.343, 0.500, 0.828)
Se (0.840, 0.656, 0.502)
Sn (0.001, 0.673, 0.843)
Sn (0.500, 0.828, 0.343)
Co (0.259, 0.762, 0.755)
Se (0.339, 0.844, 0.002)
Se (0.661, 0.156, 0.998)
Co (0.258, 0.258, 0.258)
Co (0.245, 0.741, 0.238)
Sn (0.828, 0.343, 0.500)
Co (0.762, 0.755, 0.259)
Se (0.656, 0.502, 0.840)
Sn (0.327, 0.157, 0.999)
Sn (0.999, 0.327, 0.157)
Sn (0.157, 0.999, 0.327)
Se (0.998, 0.661, 0.156)
Co (0.742, 0.742, 0.742)
Se (0.160, 0.344, 0.498)
Se (0.344, 0.498, 0.160)
Sn (0.500, 0.172, 0.657)
Sn (0.657, 0.500, 0.172)
Co (0.238, 0.245, 0.741)
Se (0.502, 0.840, 0.656)
Sn (0.843, 0.001, 0.673)
Se (0.498, 0.160, 0.344)
Co (0.741, 0.238, 0.245)
Sn (0.673, 0.843, 0.001)
Sn (0.172, 0.657, 0.500)

* raw formation energy: -0.37 eV/atom
* V: 677.79 Å³/cell



(2)
Here is crystalline CoSn2Se at its relaxed geometry from Alexandria via LeMat-Bulk. Energies are from PBE.

Unit cell a=6.103 b=6.103 c=7.345 alpha=65.45 beta=65.45 gamma=90.00
Sites, in units of the cell vectors:
Co (0.250, 0.750, 0.500)
Se (0.750, 0.250, 0.500)
Se (0.000, 0.000, 0.000)
Sn (0.179, 0.625, 0.250)
Sn (0.571, 0.125, 0.250)
Co (0.500, 0.500, 0.000)
Sn (0.875, 0.821, 0.750)
Sn (0.375, 0.429, 0.750)

* raw formation energy: 0.16 eV/atom
* V: 221.38 Å³/cell



(3)
Here is crystalline Co2SnSe2 at its relaxed geometry from Alexandria via LeMat-Bulk. Energies are from PBE.

Unit cell a=4.486 b=4.486 c=5.414 alpha=65.52 beta=65.52 gamma=90.00
Sites, in units of the cell vectors:
Co (0.644, 0.644, 0.711)
Se (0.250, 0.750, 0.500)
Co (0.356, 0.356, 0.289)
Se (0.750, 0.250, 0.500)
Sn (0.000, 0.000, 0.000)

* raw formation energy: 0.16 eV/atom
* V: 88.29 Å³/cell
* energy above the most stable polymorph in this dataset: 253.1 meV per atom



(4)
Here is crystalline Co2SnSe2 at its relaxed geometry from Alexandria via LeMat-Bulk. Energies are from PBE.

Unit cell a=7.728 b=7.728 c=2.997 alpha=90.00 beta=90.00 gamma=90.00
Last column: magnetic moment on the atom in μB.
Sites, in units of the cell vectors:
Co (0.385, 0.115, 0.500)  0.79
Co (0.615, 0.885, 0.500)  0.79
Se (0.139, 0.361, 0.000)  0.00
Co (0.115, 0.615, 0.500)  0.79
Se (0.361, 0.861, 0.000)  0.00
Sn (0.000, 0.000, 0.000)  0.00
Sn (0.500, 0.500, 0.000)  0.00
Se (0.639, 0.139, 0.000)  0.00
Co (0.885, 0.385, 0.500)  0.79
Se (0.861, 0.639, 0.000)  0.00

* raw formation energy: 0.31 eV/atom
* V: 178.98 Å³/cell
* energy above the most stable polymorph in this dataset: 403.0 meV per atom